Record 1
## ZrSbCl (GGA-PBE)

Data for crystalline ZrSbCl at its relaxed geometry.

Values from the calculation:
The value obtained for the electronic total energy is -5.711 eV per atom. Its volume is 27.26 A^3/atom. The uncorrected formation energy is -0.872 eV/atom. For the offset from the most stable computed form, the calculation gives 46.0 meV per atom. The crystal system is monoclinic.

a = 6.894 Å, b = 3.349 Å, c = 7.088 Å
α = 90.00°, β = 92.15°, γ = 90.00°
Space group P2_1/m (No. 11)
Inequivalent atoms, fractional coordinates:
Zr 0.226 0.250 0.006
Sb 0.074 0.750 0.305
Cl 0.420 0.750 0.796

Record 2
## LiTeAsO6 (GGA-PBE)

Data for crystalline LiTeAsO6 at its relaxed geometry.

Values from the calculation:
The value obtained for the electronic total energy is -5.637 eV per atom. Its volume is 11.76 A^3/atom. The uncorrected formation energy is -1.253 eV/atom. The crystal system is trigonal.

a = 5.0296 Å, b = 5.0296 Å, c = 9.6658 Å
α = 90.00°, β = 90.00°, γ = 120.00°
Space group P-31c (No. 163)
Inequivalent atoms, fractional coordinates:
Li 0.0000 0.0000 0.0000
Te 0.3333 0.6667 0.2500
As 0.3333 0.6667 0.7500
O 0.0129 0.3751 0.6398

Record 3
## YTm4Co (GGA-PBE)

Data for crystalline YTm4Co at its relaxed geometry.

Values from the calculation:
The value obtained for the electronic total energy is -5.011 eV per atom. Its volume is 30.80 A^3/atom. For the offset from the most stable computed form, the calculation gives 291.1 meV per atom. The crystal system is tetragonal. For the energy of formation from the pure elements, the calculation gives 0.232 eV/atom.

a = 4.597 Å, b = 4.597 Å, c = 8.746 Å
α = 90.00°, β = 90.00°, γ = 90.00°
Space group P4/mmm (No. 123)
Inequivalent atoms, fractional coordinates:
Y 0.000 0.000 0.000
Tm 0.000 0.500 0.319
Co 0.500 0.500 0.500

Record 4
## AlCdInCl4 (GGA-PBE)

Data for crystalline AlCdInCl4 at its relaxed geometry.

Values from the calculation:
The value obtained for the electronic total energy is -3.174 eV per atom. Its volume is 38.46 A^3/atom. The uncorrected formation energy is -1.062 eV/atom. The crystal system is monoclinic.

a = 12.673 Å, b = 9.823 Å, c = 8.988 Å
α = 90.00°, β = 105.74°, γ = 90.00°
Space group C2/m (No. 12)
Inequivalent atoms, fractional coordinates:
Al 0.153 0.000 0.262
Cd 0.024 0.500 0.816
In 0.240 0.500 0.133
Cl 0.007 0.000 0.701
Cl 0.172 0.175 0.123
Cl 0.221 0.500 0.523

Record 5
## LiHfTaMo (GGA-PBE)

Data for crystalline LiHfTaMo at its relaxed geometry.

Values from the calculation:
The value obtained for the electronic total energy is -8.538 eV per atom. Its volume is 17.23 A^3/atom. The crystal system is cubic. For the energy of formation from the pure elements, the calculation gives 0.099 eV/atom.

a = 6.508 Å, b = 6.508 Å, c = 6.508 Å
α = 90.00°, β = 90.00°, γ = 90.00°
Space group F-43m (No. 216)
Inequivalent atoms, fractional coordinates:
Li 0.000 0.000 0.000
Hf 0.250 0.250 0.750
Ta 0.250 0.250 0.250
Mo 0.000 0.000 0.500

Record 6
## PaInGa (GGA-PBE)

Data for crystalline PaInGa at its relaxed geometry.

Values from the calculation:
The value obtained for the electronic total energy is -5.184 eV per atom. Its volume is 22.54 A^3/atom. For the offset from the most stable computed form, the calculation gives 23.6 meV per atom. The crystal system is hexagonal. For the energy of formation from the pure elements, the calculation gives -0.097 eV/atom.

a = 4.9440 Å, b = 4.9440 Å, c = 3.1948 Å
α = 90.00°, β = 90.00°, γ = 120.00°
Space group P-6m2 (No. 187)
Inequivalent atoms, fractional coordinates:
Pa 0.0000 0.0000 0.0000
In 0.6667 0.3333 0.5000
Ga 0.3333 0.6667 0.5000